Density functional theory data (PBE) for a relaxed structure of LaFeRu2.

a b c (Å): 2.899 3.598 6.897
angles (deg): 90.00 90.00 90.00
Last column: magnetic moment on the atom in μB.
Element x y z (fractional)
Fe  0.000  0.000  0.427  2.57
La  0.500  0.500  0.752  -0.12
Ru  0.000  0.000  0.068  0.04
Ru  0.500  0.500  0.252  0.11

Calculated values
Crystal system: orthorhombic
Calculated total energy in eV/atom: -7.69
Total magnetization in μB per formula unit: 2.6
Energy above the lowest structure with this stoichiometry in kJ per mole of atoms: 20.2

=====

Density functional theory data (PBE) for a relaxed structure of LiMnZn6.

a b c (Å): 3.868 3.868 7.637
angles (deg): 90.00 90.00 90.00
Last column: magnetic moment on the atom in μB.
Element x y z (fractional)
Li  0.000  0.000  0.000  -0.01
Mn  0.000  0.000  0.500  3.02
Zn  0.500  0.500  0.000  -0.01
Zn  0.500  0.500  0.500  -0.07
Zn  0.500  0.000  0.253  -0.04
Zn  0.500  0.000  0.747  -0.04
Zn  0.000  0.500  0.253  -0.04
Zn  0.000  0.500  0.747  -0.04

Calculated values
Crystal system: tetragonal
Calculated total energy in eV/atom: -2.41
Total magnetization in μB per formula unit: 2.8
Energy above the lowest structure with this stoichiometry in kJ per mole of atoms: 0.0

=====

Density functional theory data (PBE) for a relaxed structure of SbPOs2.

a b c (Å): 8.058 8.058 8.058
angles (deg): 21.74 21.74 21.74
Element x y z (fractional)
Sb  0.000  0.000  0.000
P  0.500  0.500  0.500
Os  0.761  0.761  0.761
Os  0.239  0.239  0.239

Calculated values
Crystal system: trigonal
Calculated total energy in eV/atom: -7.66
ΔE_f (raw) in eV per atom: 0.339
Total magnetization in μB per formula unit: 0.0
Energy above the lowest structure with this stoichiometry in kJ per mole of atoms: 23.5

=====

Density functional theory data (PBE) for a relaxed structure of PmErSbPb.

a b c (Å): 5.456 5.456 5.456
angles (deg): 60.00 60.00 60.00
Element x y z (fractional)
Pb  0.750  0.750  0.750
Sb  0.250  0.250  0.250
Pm  0.500  0.500  0.500
Er  0.000  0.000  0.000

Calculated values
Crystal system: cubic
Calculated total energy in eV/atom: -4.84
ΔE_f (raw) in eV per atom: -0.551
Total magnetization in μB per formula unit: 0.0

=====

Density functional theory data (PBE) for a relaxed structure of LaCu2Ni.

a b c (Å): 4.266 4.147 4.466
angles (deg): 74.06 90.00 90.00
Element x y z (fractional)
Cu  0.000  0.879  0.960
Cu  0.000  0.621  0.540
La  0.500  0.250  0.250
Ni  0.500  0.750  0.750

Calculated values
Crystal system: monoclinic
Calculated total energy in eV/atom: -4.79
Total magnetization in μB per formula unit: 0.0

=====

Density functional theory data (PBE) for a relaxed structure of K2ZrSnMo.

a b c (Å): 6.124 5.359 6.124
angles (deg): 90.00 90.00 90.00
Last column: magnetic moment on the atom in μB.
Element x y z (fractional)
K  0.000  0.000  0.500  -0.02
K  0.500  0.000  0.000  -0.03
Mo  0.000  0.000  0.000  -2.98
Sn  0.000  0.500  0.000  0.04
Zr  0.500  0.500  0.500  1.66

Calculated values
Crystal system: tetragonal
Calculated total energy in eV/atom: -3.54
Total magnetization in μB per formula unit: 0.7

=====

Density functional theory data (PBE) for a relaxed structure of Tb7CoI12.

a b c (Å): 9.775 9.775 9.775
angles (deg): 106.75 106.75 106.75
Element x y z (fractional)
Tb  0.500  0.500  0.500
Tb  0.020  0.092  0.288
Tb  0.092  0.288  0.020
Tb  0.288  0.020  0.092
Tb  0.980  0.908  0.712
Tb  0.908  0.712  0.980
Tb  0.712  0.980  0.908
Co  0.000  0.000  0.000
I  0.161  0.463  0.384
I  0.463  0.384  0.161
I  0.384  0.161  0.463
I  0.839  0.537  0.616
I  0.537  0.616  0.839
I  0.616  0.839  0.537
I  0.676  0.070  0.224
I  0.070  0.224  0.676
I  0.224  0.676  0.070
I  0.324  0.930  0.776
I  0.930  0.776  0.324
I  0.776  0.324  0.930

Calculated values
Crystal system: trigonal
Calculated total energy in eV/atom: -4.11
ΔE_f (raw) in eV per atom: -1.208
Total magnetization in μB per formula unit: 0.0

=====

Density functional theory data (PBE) for a relaxed structure of LiZnP.

a b c (Å): 4.085 4.085 11.213
angles (deg): 90.00 90.00 120.00
Element x y z (fractional)
Li  0.000  0.000  0.393
Li  0.000  0.000  0.607
Li  0.667  0.333  0.000
Zn  0.667  0.333  0.240
Zn  0.667  0.333  0.760
Zn  0.000  0.000  0.000
P  0.333  0.667  0.500
P  0.333  0.667  0.265
P  0.333  0.667  0.735

Calculated values
Crystal system: hexagonal
Calculated total energy in eV/atom: -2.90
Total magnetization in μB per formula unit: 0.0

=====

Density functional theory data (PBE) for a relaxed structure of ZnFeIrS2.

a b c (Å): 4.486 4.731 4.486
angles (deg): 90.00 90.00 90.00
Last column: magnetic moment on the atom in μB.
Element x y z (fractional)
S  0.000  0.000  0.500  0.07
S  0.500  0.000  0.000  0.08
Zn  0.000  0.000  0.000  0.00
Ir  0.000  0.500  0.000  0.71
Fe  0.500  0.500  0.500  3.40

Calculated values
Crystal system: tetragonal
Calculated total energy in eV/atom: -4.12
ΔE_f (raw) in eV per atom: 1.252
Total magnetization in μB per formula unit: 4.4

=====

Density functional theory data (PBE) for a relaxed structure of SiHgPAu2.

a b c (Å): 5.206 4.835 5.206
angles (deg): 90.00 90.00 90.00
Last column: magnetic moment on the atom in μB.
Element x y z (fractional)
P  0.500  0.500  0.500  0.20
Si  0.000  0.500  0.000  0.00
Au  0.000  0.000  0.500  0.03
Au  0.500  0.000  0.000  0.01
Hg  0.000  0.000  0.000  0.00

Calculated values
Crystal system: tetragonal
Calculated total energy in eV/atom: -2.25
ΔE_f (raw) in eV per atom: 1.289
Total magnetization in μB per formula unit: 0.5

=====

Density functional theory data (PBE) for a relaxed structure of Y2MgCl.

a b c (Å): 3.472 3.472 10.184
angles (deg): 90.00 90.00 90.00
Last column: magnetic moment on the atom in μB.
Element x y z (fractional)
Cl  0.000  0.000  0.430  0.00
Mg  0.500  0.500  0.788  0.01
Y  0.000  0.000  0.011  0.08
Y  0.500  0.500  0.271  0.07

Calculated values
Crystal system: tetragonal
Calculated total energy in eV/atom: -4.66
ΔE_f (raw) in eV per atom: -0.572
Total magnetization in μB per formula unit: 0.4
Energy above the lowest structure with this stoichiometry in kJ per mole of atoms: 7.3

=====

Density functional theory data (PBE) for a relaxed structure of TiMoIr2.

a b c (Å): 4.436 4.436 4.436
angles (deg): 60.00 60.00 60.00
Element x y z (fractional)
Mo  0.500  0.500  0.500
Ir  0.250  0.250  0.250
Ir  0.750  0.750  0.750
Ti  0.000  0.000  0.000

Calculated values
Crystal system: cubic
Calculated total energy in eV/atom: -9.28
Total magnetization in μB per formula unit: 0.0
Energy above the lowest structure with this stoichiometry in kJ per mole of atoms: 33.9